Crystalline RbSn2Br2 at its relaxed geometry. Source: Alexandria, functional PBE.

Computed properties:
Formation energy (no corrections) = -434 meV per atom
Final energy = -2.90 eV per atom

a = 6.153 Å, b = 6.153 Å, c = 6.630 Å
α = 62.35°, β = 62.35°, γ = 90.00°
Element x y z (fractional)
Sn 0.351 0.351 0.299
Br 0.750 0.250 0.500
Br 0.250 0.750 0.500
Rb 0.000 0.000 0.000
Sn 0.649 0.649 0.701